Below is an optimized crystal structure of CuMo2Pt, with properties calculated at the PBE level.

The space group is Cm (No. 8) and the conventional cell measures 9.035, 2.689 and 4.962 Å, with angles of 90.00, 97.21 and 90.00 degrees. Symmetry generates all atoms from Cu at (0.000, 0.000, 0.000), Mo at (0.252, 0.000, 0.759), Mo at (0.492, 0.000, 0.499) and Pt at (0.249, 0.500, 0.238).

The density of states at the Fermi level comes out at 4.48 states/eV per cell. The formation energy comes out at 0.00 eV/atom. As for the density: 12.508 g/cm³.